This record from Alexandria via LeMat-Bulk describes a geometry-optimized LaTl2AgF structure. The functional is PBE.

Results
- formation energy without anion corrections (eV per atom) = -0.7845
- theoretical density (Mg/m³) = 8.5
- energy (eV per atom) = -3.661

a = 5.198 Å, b = 4.889 Å, c = 5.198 Å
α = 90.00°, β = 90.00°, γ = 90.00°
Atoms (fractional coordinates):
F 0.000 0.000 0.000
Ag 0.500 0.500 0.500
La 0.000 0.500 0.000
Tl 0.500 0.000 0.000
Tl 0.000 0.000 0.500